# 1
The following is a PBE calculation of a geometry-optimized UTl3Te3 structure, from the Alexandria database.

Cell: 9.5572 4.4852 13.0539 Å, 90.00 99.21 90.00°
Last column: nearest neighbours and their distance in Å.
Sites, in units of the cell vectors:
1 U 0.1395 0.2500 0.1323  6 Te 3.11-3.13
2 U 0.8605 0.7500 0.8677  6 Te 3.11-3.13
3 Tl 0.1015 0.2500 0.6367  4 Te 3.28-3.57
4 Tl 0.3568 0.7500 0.8798  5 Te 3.35-3.48
5 Tl 0.3997 0.7500 0.3889  3 Te 3.25
6 Tl 0.6003 0.2500 0.6111  3 Te 3.25
7 Tl 0.6432 0.2500 0.1202  5 Te 3.35-3.48
8 Tl 0.8985 0.7500 0.3633  4 Te 3.28-3.57
9 Te 0.0905 0.2500 0.8905  3 U 3.12, 3 Tl 3.33-3.41
10 Te 0.1506 0.2500 0.3717  1 U 3.11, 4 Tl 3.25-3.28
11 Te 0.3691 0.7500 0.1373  2 U 3.13, 4 Tl 3.25-3.48
12 Te 0.6309 0.2500 0.8627  2 U 3.13, 4 Tl 3.25-3.48
13 Te 0.8494 0.7500 0.6283  1 U 3.11, 4 Tl 3.25-3.28
14 Te 0.9095 0.7500 0.1095  3 U 3.12, 3 Tl 3.33-3.41

Computed properties:
- total DFT energy (no corrections) (eV per atom) = -4.38
- E_form (uncorrected) (eV per atom) = -0.405

***

# 2
The following is a PBE calculation of a geometry-optimized UTl3Te3 structure, from the Alexandria database.

Cell: 7.6820 7.6820 9.9252 Å, 99.53 99.53 110.51°
Last column: nearest neighbours and their distance in Å.
Sites, in units of the cell vectors:
1 U 0.1011 0.1011 0.1100  1 U 2.38
2 U 0.8989 0.8989 0.8900  1 U 2.38
3 Tl 0.1494 0.8506 0.5000  2 Te 3.28
4 Tl 0.2868 0.7132 0.0000  6 Te 3.55-3.87, 2 U 3.81
5 Tl 0.4038 0.4038 0.6169  1 Tl 3.24, 3 Te 3.26-3.35
6 Tl 0.5962 0.5962 0.3831  1 Tl 3.24, 3 Te 3.26-3.35
7 Tl 0.7132 0.2868 0.0000  6 Te 3.55-3.87, 2 U 3.81
8 Tl 0.8506 0.1494 0.5000  2 Te 3.28
9 Te 0.1194 0.4590 0.2890  1 U 2.96, 1 Tl 3.28
10 Te 0.2293 0.2293 0.8662  2 U 2.95-2.97, 1 Tl 3.26
11 Te 0.4590 0.1194 0.2890  1 U 2.96, 1 Tl 3.28
12 Te 0.5410 0.8806 0.7110  1 U 2.96, 1 Tl 3.28
13 Te 0.7707 0.7707 0.1338  2 U 2.95-2.97, 1 Tl 3.26
14 Te 0.8806 0.5410 0.7110  1 U 2.96, 1 Tl 3.28

Computed properties:
- total DFT energy (no corrections) (eV per atom) = -4.27
- E_form (uncorrected) (eV per atom) = -0.293

***

# 3
The following is a PBE calculation of a geometry-optimized UTlTe2 structure, from the Alexandria database.

Cell: 8.9677 8.9677 8.9677 Å, 27.94 27.94 27.94°
Last column: nearest neighbours and their distance in Å.
Sites, in units of the cell vectors:
1 U 0.0000 0.0000 0.0000  6 Te 3.11-3.12
2 Tl 0.8321 0.8321 0.8321  6 Te 3.48-3.52
3 Te 0.4049 0.4049 0.4049  3 U 3.11, 3 Tl 3.48
4 Te 0.5947 0.5947 0.5947  3 U 3.12

Computed properties:
- total DFT energy (no corrections) (eV per atom) = -5.50
- E_form (uncorrected) (eV per atom) = -0.511

***

# 4
The following is a PBE calculation of a geometry-optimized UTl5Te4 structure, from the Alexandria database.

Cell: 10.0109 10.0109 9.1732 Å, 115.66 115.66 26.37°
Last column: nearest neighbours and their distance in Å.
Sites, in units of the cell vectors:
1 U 0.0000 0.0000 0.0000  6 Te 3.09-3.15
2 Tl 0.0000 0.0000 0.5000  4 Te 3.53, 4 Tl 3.53
3 Tl 0.2815 0.2815 0.8942  3 Te 3.22, 2 Tl 3.55
4 Tl 0.3597 0.3597 0.4891  4 Te 3.29-3.55, 2 Tl 3.53
5 Tl 0.6403 0.6403 0.5109  4 Te 3.29-3.55, 2 Tl 3.53
6 Tl 0.7185 0.7185 0.1058  3 Te 3.22, 2 Tl 3.55
7 Te 0.1647 0.1647 0.2802  1 U 3.09, 5 Tl 3.22-3.41
8 Te 0.4549 0.4549 0.1773  2 U 3.15, 1 Tl 3.22
9 Te 0.5451 0.5451 0.8227  2 U 3.15, 1 Tl 3.22
10 Te 0.8353 0.8353 0.7198  1 U 3.09, 5 Tl 3.22-3.41

Computed properties:
- total DFT energy (no corrections) (eV per atom) = -3.93
- E_form (uncorrected) (eV per atom) = -0.363

***

# 5
The following is a PBE calculation of a geometry-optimized U3Tl4Te8 structure, from the Alexandria database.

Cell: 10.0874 10.0874 10.0874 Å, 53.56 53.56 53.56°
Last column: nearest neighbours and their distance in Å.
Sites, in units of the cell vectors:
1 U 0.0000 0.5000 0.5000  6 Te 3.07-3.09
2 U 0.5000 0.0000 0.5000  6 Te 3.07-3.09
3 U 0.5000 0.5000 0.0000  6 Te 3.07-3.09
4 Tl 0.0000 0.0000 0.0000  6 Te 3.36, 2 Tl 3.54
5 Tl 0.1371 0.1371 0.1371  4 Te 3.37-3.43, 1 Tl 3.54
6 Tl 0.5000 0.5000 0.5000  6 Te 3.49
7 Tl 0.8629 0.8629 0.8629  4 Te 3.37-3.43, 1 Tl 3.54
8 Te 0.2497 0.2497 0.7047  2 U 3.07, 2 Tl 3.36-3.37
9 Te 0.2497 0.7047 0.2497  2 U 3.07, 2 Tl 3.36-3.37
10 Te 0.2699 0.2699 0.2699  3 U 3.09, 1 Tl 3.43
11 Te 0.2953 0.7503 0.7503  2 U 3.07, 2 Tl 3.36-3.37
12 Te 0.7047 0.2497 0.2497  2 U 3.07, 2 Tl 3.36-3.37
13 Te 0.7301 0.7301 0.7301  3 U 3.09, 1 Tl 3.43
14 Te 0.7503 0.2953 0.7503  2 U 3.07, 2 Tl 3.36-3.37
15 Te 0.7503 0.7503 0.2953  2 U 3.07, 2 Tl 3.36-3.37

Computed properties:
- total DFT energy (no corrections) (eV per atom) = -5.05
- E_form (uncorrected) (eV per atom) = -0.485

***

# 6
The following is a PBE calculation of a geometry-optimized UTl5Te5 structure, from the Alexandria database.

Cell: 8.2847 8.2847 9.5253 Å, 109.78 109.78 46.51°
Last column: nearest neighbours and their distance in Å.
Sites, in units of the cell vectors:
1 U 0.0000 0.0000 0.0000  6 Te 2.95-3.27
2 Tl 0.0000 0.0000 0.5000  4 Te 3.36-3.44
3 Tl 0.3052 0.3052 0.6921  5 Te 3.31-3.57
4 Tl 0.3367 0.3367 0.1817  5 Te 3.25-3.53
5 Tl 0.6633 0.6633 0.8183  5 Te 3.25-3.53
6 Tl 0.6948 0.6948 0.3079  5 Te 3.31-3.57
7 Te 0.1457 0.1457 0.3072  1 U 2.95
8 Te 0.1505 0.1505 0.8716  1 U 2.97, 1 Tl 3.25
9 Te 0.5000 0.5000 0.0000  2 U 3.27, 4 Tl 3.31-3.51
10 Te 0.8495 0.8495 0.1284  1 U 2.97, 1 Tl 3.25
11 Te 0.8543 0.8543 0.6928  1 U 2.95

Computed properties:
- total DFT energy (no corrections) (eV per atom) = -3.90
- E_form (uncorrected) (eV per atom) = -0.366

***

Looking at V for the records above, in order, we have 39.45 37.50 34.95 36.57 41.10 40.09 A^3/atom.